1.
A geometry-optimized GaGeSb2Te structure. Source: Alexandria, functional GGA-PBE.

Cell: 5.2840 5.2840 5.3717 Å, 90.00 90.00 90.00°
Space group P4/mmm (No. 123)
Symmetry-distinct sites (fractional):
Ga (0.0000, 0.0000, 0.0000)
Ge (0.5000, 0.5000, 0.5000)
Sb (0.0000, 0.5000, 0.0000)
Te (0.0000, 0.0000, 0.5000)

## Properties
* E: -0.2324 Ry/atom
* E_form (uncorrected): 0.6444 eV per atom
* D(E_F): 0.86 states/eV/atom
* polymorph energy (0 for the lowest one): 0.102 eV/atom

***

2.
A geometry-optimized TiGaCu3 structure. Source: Alexandria, functional GGA-PBE.

Cell: 4.1121 4.1476 8.1151 Å, 90.00 104.67 90.00°
Space group P2_1/m (No. 11)
Symmetry-distinct sites (fractional):
Ti (0.1480, 0.2500, 0.2967)
Ga (0.3529, 0.2500, 0.7053)
Cu (0.0460, 0.7500, 0.0914)
Cu (0.2486, 0.7500, 0.4978)
Cu (0.4545, 0.7500, 0.9084)

## Properties
* E: -0.3537 Ry/atom
* D(E_F): 0.48 states/eV/atom
* energy of formation from the pure elements: -82 kJ/mol of formula units
* polymorph energy (0 for the lowest one): 0.000 eV/atom

***

3.
A geometry-optimized Rb2BeSeS structure. Source: Alexandria, functional GGA-PBE.

Cell: 7.6598 3.9421 10.9223 Å, 90.00 109.77 90.00°
Space group P2_1/m (No. 11)
Symmetry-distinct sites (fractional):
Rb (0.1883, 0.2500, 0.4027)
Rb (0.2143, 0.2500, 0.9482)
Be (0.4972, 0.2500, 0.7423)
Se (0.3304, 0.7500, 0.6998)
S (0.2347, 0.7500, 0.1854)

## Properties
* E: -0.2670 Ry/atom
* E_form (uncorrected): -0.9784 eV per atom

***

4.
A geometry-optimized Ca2AcSn structure. Source: Alexandria, functional GGA-PBE.

Cell: 5.0858 5.0858 5.3664 Å, 90.00 90.00 90.00°
Space group P4/mmm (No. 123)
Symmetry-distinct sites (fractional):
Ca (0.0000, 0.5000, 0.0000)
Ac (0.0000, 0.0000, 0.5000)
Sn (0.5000, 0.5000, 0.5000)

## Properties
* E: -0.2499 Ry/atom
* D(E_F): 0.68 states/eV/atom
* energy of formation from the pure elements: -144 kJ/mol of formula units
* polymorph energy (0 for the lowest one): 0.038 eV/atom

***

5.
A geometry-optimized La2Zr structure. Source: Alexandria, functional GGA-PBE.

Cell: 3.4474 3.4474 15.7476 Å, 90.00 90.00 90.00°
Space group I4/mmm (No. 139)
Symmetry-distinct sites (fractional):
La (0.0000, 0.0000, 0.1529)
Zr (0.0000, 0.0000, 0.5000)

## Properties
* E: -0.4418 Ry/atom
* D(E_F): 1.20 states/eV/atom
* energy of formation from the pure elements: 36 kJ/mol of formula units
* polymorph energy (0 for the lowest one): 0.000 eV/atom

***

6.
A geometry-optimized CsY2Mg2 structure. Source: Alexandria, functional GGA-PBE.

Cell: 9.9169 9.9169 3.5538 Å, 90.00 90.00 90.00°
Space group P4/mbm (No. 127)
Symmetry-distinct sites (fractional):
Cs (0.0000, 0.0000, 0.0000)
Y (0.1209, 0.3791, 0.0000)
Mg (0.1676, 0.6676, 0.5000)

## Properties
* E: -0.2323 Ry/atom
* D(E_F): 1.01 states/eV/atom
* energy of formation from the pure elements: 112 kJ/mol of formula units

***

7.
A geometry-optimized Li2La2Ni structure. Source: Alexandria, functional GGA-PBE.

Cell: 5.6977 5.6977 7.3048 Å, 90.00 90.00 90.00°
Space group I4/mmm (No. 139)
Symmetry-distinct sites (fractional):
Li (0.0000, 0.0000, 0.1503)
La (0.0000, 0.5000, 0.2500)
Ni (0.0000, 0.0000, 0.5000)

## Properties
* E: -0.2637 Ry/atom
* D(E_F): 0.52 states/eV/atom
* energy of formation from the pure elements: 147 kJ/mol of formula units
* polymorph energy (0 for the lowest one): 0.142 eV/atom

***

8.
A geometry-optimized SrLaRh3 structure. Source: Alexandria, functional GGA-PBE.

Cell: 5.0149 5.0149 5.0149 Å, 90.00 90.00 90.00°
Space group Pm-3m (No. 221)
Symmetry-distinct sites (fractional):
Sr (0.0000, 0.0000, 0.0000)
La (0.5000, 0.5000, 0.5000)
Rh (0.0000, 0.5000, 0.5000)

## Properties
* E: -0.4007 Ry/atom
* D(E_F): 0.15 states/eV/atom
* energy of formation from the pure elements: 135 kJ/mol of formula units
* polymorph energy (0 for the lowest one): 0.000 eV/atom

***

9.
A geometry-optimized NpNi9Ge2 structure. Source: Alexandria, functional GGA-PBE.

Cell: 4.8235 4.8235 23.1711 Å, 90.00 90.00 120.00°
Space group R-3m (No. 166, hexagonal axes)
Symmetry-distinct sites (fractional):
Np (0.0000, 0.0000, 0.0000)
Ni (0.0000, 0.0000, 0.3339)
Ni (0.0000, 0.0000, 0.5000)
Ni (0.0049, 0.5024, 0.9132)
Ge (0.0000, 0.0000, 0.1371)

## Properties
* E: -0.4604 Ry/atom
* D(E_F): 1.55 states/eV/atom
* energy of formation from the pure elements: -93 kJ/mol of formula units

***

10.
A geometry-optimized Li2ScW structure. Source: Alexandria, functional GGA-PBE.

Cell: 3.0444 4.5353 10.3155 Å, 90.00 90.00 90.00°
Space group Cmmm (No. 65)
Symmetry-distinct sites (fractional):
Li (0.0000, 0.0000, 0.2344)
Sc (0.0000, 0.5000, 0.5000)
W (0.0000, 0.5000, 0.0000)

## Properties
* E: -0.3899 Ry/atom
* D(E_F): 0.93 states/eV/atom
* energy of formation from the pure elements: 183 kJ/mol of formula units
* polymorph energy (0 for the lowest one): 0.198 eV/atom

***

11.
A geometry-optimized FeIN3 structure. Source: Alexandria, functional GGA-PBE.

Cell: 3.7721 3.7721 3.7721 Å, 90.00 90.00 90.00°
Space group Pm-3m (No. 221)
Symmetry-distinct sites (fractional):
Fe (0.0000, 0.0000, 0.0000)
I (0.5000, 0.5000, 0.5000)
N (0.0000, 0.0000, 0.5000)

## Properties
* E: -0.3995 Ry/atom
* E_form (uncorrected): 1.5627 eV per atom
* D(E_F): 0.80 states/eV/atom

***

12.
A geometry-optimized HoThSe structure. Source: Alexandria, functional GGA-PBE.

Cell: 3.8578 3.8578 6.8128 Å, 90.00 90.00 120.00°
Space group P3m1 (No. 156)
Symmetry-distinct sites (fractional):
Ho (0.0000, 0.0000, 0.0000)
Th (0.6667, 0.3333, 0.4271)
Se (0.3333, 0.6667, 0.7287)

## Properties
* E: -0.4477 Ry/atom
* E_form (uncorrected): -0.9312 eV per atom
* D(E_F): 0.94 states/eV/atom
* polymorph energy (0 for the lowest one): 0.000 eV/atom